Entry 1:
Crystalline Sm3Er4Sc2 at its relaxed geometry, computed with PBE-GGA.

```
Sm3Er4Sc2
1.0
8.1392 -5.7023 0.0000
8.1392 5.7023 0.0000
-0.7790 0.0000 5.8511
Sm Er Sc
6 8 4
Direct
0.0988 0.9012 0.7500 Sm
0.2157 0.4452 0.9272 Sm
0.4452 0.2157 0.4272 Sm
0.5548 0.7843 0.5728 Sm
0.7843 0.5548 0.0728 Sm
0.9012 0.0988 0.2500 Sm
0.0880 0.3330 0.3689 Er
0.3129 0.5839 0.4803 Er
0.3330 0.0880 0.8689 Er
0.4161 0.6871 0.0197 Er
0.5839 0.3129 0.9803 Er
0.6670 0.9120 0.1311 Er
0.6871 0.4161 0.5197 Er
0.9120 0.6670 0.6311 Er
0.0268 0.7529 0.1798 Sc
0.2471 0.9732 0.3202 Sc
0.7529 0.0268 0.6798 Sc
0.9732 0.2471 0.8202 Sc
```

Formation energy from the elements = 113 meV/atom
Crystal system = monoclinic
D(E_F) = 27.91 states/eV per cell
Space-group type = C2/c
Energy = -0.180 Ha/atom



Entry 2:
Crystalline Sm3Er8Sc2 at its relaxed geometry, computed with PBE-GGA.

```
Sm3Er8Sc2
1.0
7.2660 -4.5160 0.0000
7.2660 4.5160 0.0000
-2.2098 0.0000 6.3515
Sm Er Sc
3 8 2
Direct
0.0000 0.0000 0.0000 Sm
0.1737 0.8263 0.5000 Sm
0.8263 0.1737 0.5000 Sm
0.1923 0.1923 0.8980 Er
0.1986 0.5595 0.8099 Er
0.4103 0.4103 0.2735 Er
0.4405 0.8014 0.1901 Er
0.5595 0.1986 0.8099 Er
0.5897 0.5897 0.7265 Er
0.8014 0.4405 0.1901 Er
0.8077 0.8077 0.1020 Er
0.2072 0.2072 0.4239 Sc
0.7928 0.7928 0.5761 Sc
```

Formation energy from the elements = 246 meV/atom
Crystal system = monoclinic
D(E_F) = 15.88 states/eV per cell
Space-group type = C2/m
Offset from the most stable computed form = 0 meV per atom
Energy = -0.170 Ha/atom



Entry 3:
Crystalline Sm3Er2Sc at its relaxed geometry, computed with PBE-GGA.

```
Sm3Er2Sc
1.0
6.1026 0.0000 0.0000
2.0434 7.6113 0.0000
0.0289 3.2877 8.0025
Sm Er Sc
6 4 2
Direct
0.0406 0.1342 0.2864 Sm
0.2923 0.8739 0.0424 Sm
0.3734 0.1273 0.6261 Sm
0.6266 0.8727 0.3739 Sm
0.7077 0.1261 0.9576 Sm
0.9594 0.8658 0.7136 Sm
0.2069 0.6212 0.4602 Er
0.4532 0.3818 0.2046 Er
0.5468 0.6182 0.7954 Er
0.7931 0.3788 0.5398 Er
0.1232 0.3790 0.8757 Sc
0.8768 0.6210 0.1243 Sc
```

Formation energy from the elements = 39 meV/atom
Crystal system = triclinic
D(E_F) = 17.25 states/eV per cell
Space-group type = P-1
Offset from the most stable computed form = 0 meV per atom
Energy = -0.180 Ha/atom



Entry 4:
Crystalline Sm2Er2Sc at its relaxed geometry, computed with PBE-GGA.

```
Sm2Er2Sc
1.0
-2.4507 3.8612 4.1038
2.4507 -3.8612 4.1038
2.4507 3.8612 -4.1038
Sm Er Sc
2 2 1
Direct
0.2066 0.0000 0.2066 Sm
0.7934 0.0000 0.7934 Sm
0.2078 0.7078 0.5000 Er
0.7922 0.2922 0.5000 Er
0.5000 0.5000 0.0000 Sc
```

Formation energy from the elements = 225 meV/atom
Crystal system = orthorhombic
D(E_F) = 8.49 states/eV per cell
Space-group type = Immm
Offset from the most stable computed form = 30 meV per atom
Energy = -0.175 Ha/atom



Entry 5:
Crystalline SmEr12Sc7 at its relaxed geometry, computed with PBE-GGA.

```
SmEr12Sc7
1.0
8.0163 4.6282 2.6488
-8.0163 4.6282 2.6488
0.0000 -9.2564 2.6488
Sm Er Sc
1 12 7
Direct
0.0000 0.0000 0.0000 Sm
0.0000 0.2825 0.7175 Er
0.0000 0.7175 0.2825 Er
0.0939 0.4260 0.4260 Er
0.2825 0.0000 0.7175 Er
0.2825 0.7175 0.0000 Er
0.4260 0.0939 0.4260 Er
0.4260 0.4260 0.0939 Er
0.5740 0.5740 0.9061 Er
0.5740 0.9061 0.5740 Er
0.7175 0.0000 0.2825 Er
0.7175 0.2825 0.0000 Er
0.9061 0.5740 0.5740 Er
0.1562 0.1562 0.4893 Sc
0.1562 0.4893 0.1562 Sc
0.4893 0.1562 0.1562 Sc
0.5000 0.5000 0.5000 Sc
0.5107 0.8438 0.8438 Sc
0.8438 0.5107 0.8438 Sc
0.8438 0.8438 0.5107 Sc
```

Formation energy from the elements = 269 meV/atom
Crystal system = trigonal
D(E_F) = 36.58 states/eV per cell
Space-group type = R-3m
Energy = -0.181 Ha/atom



Entry 6:
Crystalline SmErSc at its relaxed geometry, computed with PBE-GGA.

```
SmErSc
1.0
5.4921 0.0000 0.0000
-2.7461 4.7563 0.0000
0.0000 0.0000 3.3764
Sm Er Sc
1 1 1
Direct
0.0000 0.0000 0.0000 Sm
0.3333 0.6667 0.5000 Er
0.6667 0.3333 0.5000 Sc
```

Formation energy from the elements = 80 meV/atom
Crystal system = hexagonal
D(E_F) = 5.09 states/eV per cell
Space-group type = P-6m2
Offset from the most stable computed form = 55 meV per atom
Energy = -0.188 Ha/atom



Entry 7:
Crystalline SmErSc3 at its relaxed geometry, computed with PBE-GGA.

```
SmErSc3
1.0
8.6089 -2.3895 0.0000
8.6089 2.3895 0.0000
-1.2278 0.0000 6.6416
Sm Er Sc
2 2 6
Direct
0.1008 0.1008 0.0473 Sm
0.8992 0.8992 0.9527 Sm
0.2991 0.2991 0.6488 Er
0.7009 0.7009 0.3512 Er
0.0962 0.0962 0.5463 Sc
0.3018 0.3018 0.1545 Sc
0.4984 0.4984 0.2571 Sc
0.5016 0.5016 0.7429 Sc
0.6982 0.6982 0.8455 Sc
0.9038 0.9038 0.4537 Sc
```

Formation energy from the elements = 58 meV/atom
Crystal system = monoclinic
D(E_F) = 16.01 states/eV per cell
Space-group type = C2/m
Energy = -0.206 Ha/atom



Entry 8:
Crystalline Sm2Er6Sc at its relaxed geometry, computed with PBE-GGA.

```
Sm2Er6Sc
1.0
8.3383 -4.8068 0.0000
8.3383 4.8068 0.0000
-0.0042 0.0000 3.4144
Sm Er Sc
2 6 1
Direct
0.1666 0.1666 0.9999 Sm
0.8334 0.8334 0.0001 Sm
0.1712 0.5001 0.5004 Er
0.1711 0.8289 0.5000 Er
0.5001 0.1712 0.5004 Er
0.4999 0.8288 0.4996 Er
0.8289 0.1711 0.5000 Er
0.8288 0.4999 0.4996 Er
0.5000 0.5000 0.0000 Sc
```

Formation energy from the elements = 97 meV/atom
Crystal system = monoclinic
D(E_F) = 15.75 states/eV per cell
Space-group type = C2/m
Offset from the most stable computed form = 0 meV per atom
Energy = -0.173 Ha/atom